1.
HgSe2IBr: relaxed, PBE.

Lattice parameters (Å, degrees): 5.4398 5.4398 5.8041 90.00 90.00 90.00
Element x y z (fractional)
Br 0.0000 0.0000 0.5000
Hg 0.5000 0.5000 0.5000
Se 0.5000 0.0000 0.0000
Se 0.0000 0.5000 0.0000
I 0.0000 0.0000 0.0000

2.
SnHgIBr: relaxed, PBE.

Lattice parameters (Å, degrees): 4.2968 4.2968 10.8694 90.10 101.21 120.25
Element x y z (fractional)
Sn 0.7807 0.7770 0.5577
Hg 0.4641 0.6132 0.0773
Br 0.3345 0.0526 0.3870
I 0.5763 0.1758 0.7521

Number 1: raw formation energy 0.53 eV per atom. Number 2: raw formation energy -0.38 eV per atom.